# Nb3ZnTc (PBE, optimized geometry)
# **Excess energy over the best structure of this formula in the dataset**: 438 meV per atom
data_Nb3ZnTc
_chemical_formula_sum 'Nb3 Zn1 Tc1'
_symmetry_space_group_name_H-M 'P 1'
_symmetry_Int_Tables_number 1
_symmetry_space_group_name_Hall 'P 1'
_cell_length_a 4.647
_cell_length_b 4.647
_cell_length_c 4.647
_cell_angle_alpha 90.00
_cell_angle_beta 90.00
_cell_angle_gamma 90.00
loop_
_atom_site_label
_atom_site_fract_x
_atom_site_fract_y
_atom_site_fract_z
_atom_site_occupancy
Nb1 0.000 0.000 0.500 1
Nb2 0.000 0.500 0.000 1
Nb3 0.500 0.000 0.000 1
Zn1 0.000 0.000 0.000 1
Tc1 0.500 0.500 0.500 1